Record 1
First-principles (PBEsol) data for a relaxed RbAgO3 crystal, as listed in the Alexandria database.

Properties
* total energy: -20.5 eV per formula unit
* SG: No. 221
* uncorrected formation energy: -0.078 eV/atom
* magnetization: 1.7 Bohr magnetons per cell

Geometry as CIF:
```
data_RbAgO3
_chemical_formula_sum 'Rb1 Ag1 O3'
_symmetry_space_group_name_H-M 'P 1'
_symmetry_Int_Tables_number 1
_cell_length_a 4.137
_cell_length_b 4.137
_cell_length_c 4.137
_cell_angle_alpha 90.00
_cell_angle_beta 90.00
_cell_angle_gamma 90.00
loop_
_symmetry_equiv_pos_as_xyz
'x,y,z'
loop_
_atom_site_label
_atom_site_type_symbol
_atom_site_fract_x
_atom_site_fract_y
_atom_site_fract_z
O1 O 0.000 0.500 0.000
O2 O 0.000 0.000 0.500
Ag1 Ag 0.000 0.000 0.000
O3 O 0.500 0.000 0.000
Rb1 Rb 0.500 0.500 0.500
```


Record 2
First-principles (PBEsol) data for a relaxed Zr2ScBr crystal, as listed in the Alexandria database.

Properties
* total energy: -27.1 eV per formula unit
* SG: No. 71
* uncorrected formation energy: -0.099 eV/atom
* magnetization: 0.0 Bohr magnetons per cell

Geometry as CIF:
```
data_Zr2ScBr
_chemical_formula_sum 'Zr2 Sc1 Br1'
_symmetry_space_group_name_H-M 'P 1'
_symmetry_Int_Tables_number 1
_cell_length_a 3.177
_cell_length_b 5.216
_cell_length_c 6.087
_cell_angle_alpha 115.37
_cell_angle_beta 105.13
_cell_angle_gamma 90.00
loop_
_symmetry_equiv_pos_as_xyz
'x,y,z'
loop_
_atom_site_label
_atom_site_type_symbol
_atom_site_fract_x
_atom_site_fract_y
_atom_site_fract_z
Zr1 Zr 0.765 0.765 0.531
Sc1 Sc 0.000 0.500 0.000
Br1 Br 0.500 0.000 0.000
Zr2 Zr 0.235 0.235 0.469
```


Record 3
First-principles (PBEsol) data for a relaxed YSnRh crystal, as listed in the Alexandria database.

Properties
* total energy: -22.0 eV per formula unit
* calculated formation energy: -0.93 eV/atom
* SG: No. 189
* magnetization: 0.0 Bohr magnetons per cell

Geometry as CIF:
```
data_YSnRh
_chemical_formula_sum 'Y3 Sn3 Rh3'
_symmetry_space_group_name_H-M 'P 1'
_symmetry_Int_Tables_number 1
_cell_length_a 3.741
_cell_length_b 7.511
_cell_length_c 7.511
_cell_angle_alpha 120.00
_cell_angle_beta 90.00
_cell_angle_gamma 90.00
loop_
_symmetry_equiv_pos_as_xyz
'x,y,z'
loop_
_atom_site_label
_atom_site_type_symbol
_atom_site_fract_x
_atom_site_fract_y
_atom_site_fract_z
Rh1 Rh 0.000 0.333 0.667
Y1 Y 0.500 0.595 0.000
Y2 Y 0.500 0.000 0.595
Rh2 Rh 0.000 0.667 0.333
Rh3 Rh 0.500 0.000 0.000
Sn1 Sn 0.000 0.000 0.263
Sn2 Sn 0.000 0.263 0.000
Y3 Y 0.500 0.405 0.405
Sn3 Sn 0.000 0.737 0.737
```


Record 4
First-principles (PBEsol) data for a relaxed BaTc2 crystal, as listed in the Alexandria database.

Properties
* total energy: -19.6 eV per formula unit
* calculated formation energy: 1.71 eV/atom
* SG: No. 194
* polymorph energy (0 for the lowest one): 0.662 eV/atom
* magnetization: 0.0 Bohr magnetons per cell

Geometry as CIF:
```
data_BaTc2
_chemical_formula_sum 'Ba2 Tc4'
_symmetry_space_group_name_H-M 'P 1'
_symmetry_Int_Tables_number 1
_cell_length_a 4.936
_cell_length_b 4.936
_cell_length_c 5.498
_cell_angle_alpha 90.00
_cell_angle_beta 90.00
_cell_angle_gamma 120.00
loop_
_symmetry_equiv_pos_as_xyz
'x,y,z'
loop_
_atom_site_label
_atom_site_type_symbol
_atom_site_fract_x
_atom_site_fract_y
_atom_site_fract_z
Tc1 Tc 0.000 0.000 0.000
Tc2 Tc 0.667 0.333 0.250
Ba1 Ba 0.667 0.333 0.750
Tc3 Tc 0.333 0.667 0.750
Tc4 Tc 0.000 0.000 0.500
Ba2 Ba 0.333 0.667 0.250
```


Record 5
First-principles (PBEsol) data for a relaxed K2CaMg crystal, as listed in the Alexandria database.

Properties
* total energy: -5.3 eV per formula unit
* calculated formation energy: 0.21 eV/atom
* SG: No. 139
* magnetization: 0.0 Bohr magnetons per cell

Geometry as CIF:
```
data_K2CaMg
_chemical_formula_sum 'K2 Ca1 Mg1'
_symmetry_space_group_name_H-M 'P 1'
_symmetry_Int_Tables_number 1
_cell_length_a 5.257
_cell_length_b 5.257
_cell_length_c 7.401
_cell_angle_alpha 110.80
_cell_angle_beta 110.80
_cell_angle_gamma 90.00
loop_
_symmetry_equiv_pos_as_xyz
'x,y,z'
loop_
_atom_site_label
_atom_site_type_symbol
_atom_site_fract_x
_atom_site_fract_y
_atom_site_fract_z
K1 K 0.250 0.750 0.500
Ca1 Ca 0.000 0.000 0.000
K2 K 0.750 0.250 0.500
Mg1 Mg 0.500 0.500 0.000
```


Record 6
First-principles (PBEsol) data for a relaxed AlTcSbTe2 crystal, as listed in the Alexandria database.

Properties
* total energy: -21.1 eV per formula unit
* SG: No. 123
* uncorrected formation energy: 1.177 eV/atom
* magnetization: 3.5 Bohr magnetons per cell

Geometry as CIF:
```
data_AlTcSbTe2
_chemical_formula_sum 'Al1 Tc1 Sb1 Te2'
_symmetry_space_group_name_H-M 'P 1'
_symmetry_Int_Tables_number 1
_cell_length_a 5.115
_cell_length_b 5.206
_cell_length_c 5.206
_cell_angle_alpha 90.00
_cell_angle_beta 90.00
_cell_angle_gamma 90.00
loop_
_symmetry_equiv_pos_as_xyz
'x,y,z'
loop_
_atom_site_label
_atom_site_type_symbol
_atom_site_fract_x
_atom_site_fract_y
_atom_site_fract_z
Sb1 Sb 0.500 0.000 0.000
Te1 Te 0.000 0.000 0.500
Tc1 Tc 0.500 0.500 0.500
Te2 Te 0.000 0.500 0.000
Al1 Al 0.000 0.000 0.000
```


Record 7
First-principles (PBEsol) data for a relaxed AlInSi crystal, as listed in the Alexandria database.

Properties
* total energy: -11.9 eV per formula unit
* SG: No. 216
* uncorrected formation energy: 0.314 eV/atom
* polymorph energy (0 for the lowest one): 0.060 eV/atom
* magnetization: 0.0 Bohr magnetons per cell

Geometry as CIF:
```
data_AlInSi
_chemical_formula_sum 'Al1 In1 Si1'
_symmetry_space_group_name_H-M 'P 1'
_symmetry_Int_Tables_number 1
_cell_length_a 4.492
_cell_length_b 4.492
_cell_length_c 4.492
_cell_angle_alpha 60.00
_cell_angle_beta 60.00
_cell_angle_gamma 60.00
loop_
_symmetry_equiv_pos_as_xyz
'x,y,z'
loop_
_atom_site_label
_atom_site_type_symbol
_atom_site_fract_x
_atom_site_fract_y
_atom_site_fract_z
Al1 Al 0.250 0.250 0.250
Si1 Si 0.500 0.500 0.500
In1 In 0.000 0.000 0.000
```


Record 8
First-principles (PBEsol) data for a relaxed Cs2UNb6Cl15O3 crystal, as listed in the Alexandria database.

Properties
* total energy: -170.2 eV per formula unit
* SG: No. 163
* uncorrected formation energy: -1.680 eV/atom
* magnetization: 4.9 Bohr magnetons per cell

Geometry as CIF:
```
data_Cs2UNb6Cl15O3
_chemical_formula_sum 'Cs4 U2 Nb12 Cl30 O6'
_symmetry_space_group_name_H-M 'P 1'
_symmetry_Int_Tables_number 1
_cell_length_a 9.067
_cell_length_b 9.067
_cell_length_c 17.264
_cell_angle_alpha 90.00
_cell_angle_beta 90.00
_cell_angle_gamma 120.00
loop_
_symmetry_equiv_pos_as_xyz
'x,y,z'
loop_
_atom_site_label
_atom_site_type_symbol
_atom_site_fract_x
_atom_site_fract_y
_atom_site_fract_z
Cl1 Cl 0.481 0.401 0.619
Cl2 Cl 0.786 0.572 0.250
Nb1 Nb 0.819 0.804 0.817
Cs1 Cs 0.667 0.333 0.454
U1 U 0.333 0.667 0.250
Cl3 Cl 0.984 0.205 0.087
O1 O 0.191 0.809 0.250
Cl4 Cl 0.779 0.795 0.587
Cs2 Cs 0.667 0.333 0.046
O2 O 0.191 0.382 0.250
Cl5 Cl 0.221 0.016 0.087
Cl6 Cl 0.519 0.919 0.119
Nb2 Nb 0.015 0.196 0.317
Cl7 Cl 0.919 0.401 0.881
Nb3 Nb 0.985 0.804 0.683
Nb4 Nb 0.181 0.985 0.317
Cl8 Cl 0.779 0.984 0.913
Cl9 Cl 0.205 0.221 0.913
Cl10 Cl 0.519 0.599 0.381
Cl11 Cl 0.984 0.779 0.413
Cl12 Cl 0.221 0.205 0.413
O3 O 0.809 0.191 0.750
Cl13 Cl 0.428 0.214 0.250
Cl14 Cl 0.795 0.779 0.087
Cl15 Cl 0.599 0.519 0.881
Cl16 Cl 0.016 0.221 0.587
Nb5 Nb 0.804 0.819 0.317
Cl17 Cl 0.599 0.081 0.619
Cl18 Cl 0.481 0.081 0.881
Cl19 Cl 0.786 0.214 0.250
Nb6 Nb 0.804 0.985 0.183
Cl20 Cl 0.214 0.786 0.750
O4 O 0.618 0.809 0.250
Nb7 Nb 0.196 0.015 0.817
Nb8 Nb 0.819 0.015 0.683
U2 U 0.667 0.333 0.750
Cl21 Cl 0.795 0.016 0.413
Cl22 Cl 0.572 0.786 0.750
Cl23 Cl 0.081 0.481 0.381
Cl24 Cl 0.205 0.984 0.587
Nb9 Nb 0.985 0.181 0.817
Nb10 Nb 0.181 0.196 0.183
Cl25 Cl 0.016 0.795 0.913
Cs3 Cs 0.333 0.667 0.954
Nb11 Nb 0.196 0.181 0.683
Cl26 Cl 0.401 0.481 0.119
Cl27 Cl 0.214 0.428 0.750
Cl28 Cl 0.919 0.519 0.619
Nb12 Nb 0.015 0.819 0.183
Cl29 Cl 0.401 0.919 0.381
O5 O 0.382 0.191 0.750
O6 O 0.809 0.618 0.750
Cs4 Cs 0.333 0.667 0.546
Cl30 Cl 0.081 0.599 0.119
```


Record 9
First-principles (PBEsol) data for a relaxed YTlAs2 crystal, as listed in the Alexandria database.

Properties
* total energy: -21.1 eV per formula unit
* calculated formation energy: -0.36 eV/atom
* SG: No. 225
* polymorph energy (0 for the lowest one): 0.221 eV/atom
* magnetization: 0.0 Bohr magnetons per cell

Geometry as CIF:
```
data_YTlAs2
_chemical_formula_sum 'Y1 Tl1 As2'
_symmetry_space_group_name_H-M 'P 1'
_symmetry_Int_Tables_number 1
_cell_length_a 5.046
_cell_length_b 5.046
_cell_length_c 5.046
_cell_angle_alpha 60.00
_cell_angle_beta 60.00
_cell_angle_gamma 60.00
loop_
_symmetry_equiv_pos_as_xyz
'x,y,z'
loop_
_atom_site_label
_atom_site_type_symbol
_atom_site_fract_x
_atom_site_fract_y
_atom_site_fract_z
As1 As 0.750 0.750 0.750
Y1 Y 0.500 0.500 0.500
Tl1 Tl 0.000 0.000 0.000
As2 As 0.250 0.250 0.250
```


Record 10
First-principles (PBEsol) data for a relaxed LaIr2 crystal, as listed in the Alexandria database.

Properties
* total energy: -25.1 eV per formula unit
* calculated formation energy: -0.04 eV/atom
* SG: No. 139
* magnetization: 0.0 Bohr magnetons per cell

Geometry as CIF:
```
data_LaIr2
_chemical_formula_sum 'La1 Ir2'
_symmetry_space_group_name_H-M 'P 1'
_symmetry_Int_Tables_number 1
_cell_length_a 3.551
_cell_length_b 3.551
_cell_length_c 5.497
_cell_angle_alpha 108.85
_cell_angle_beta 108.85
_cell_angle_gamma 90.00
loop_
_symmetry_equiv_pos_as_xyz
'x,y,z'
loop_
_atom_site_label
_atom_site_type_symbol
_atom_site_fract_x
_atom_site_fract_y
_atom_site_fract_z
Ir1 Ir 0.716 0.716 0.433
Ir2 Ir 0.284 0.284 0.567
La1 La 0.000 0.000 0.000
```